Here is crystalline AlGeS2 at its relaxed geometry from Alexandria via LeMat-Bulk. Energies are from PBE-GGA.

POSCAR file:
```
AlGeS2
1.0
0.713 -2.737 7.550
3.705 -1.075 7.079
0.874 0.687 7.985
Ge S Al
1 2 1
Cartesian
0.000 0.000 0.000 Ge
4.708 -2.781 20.123 S
0.583 -0.344 2.492 S
2.646 -1.562 11.307 Al
```

Results
Space group = R-3m
V = 20.19 A^3/atom
E = -4.697 eV/atom



Here is crystalline Al3GeS at its relaxed geometry from Alexandria via LeMat-Bulk. Energies are from PBE-GGA.

POSCAR file:
```
Al3GeS
1.0
4.899 0.000 0.000
0.000 4.899 0.000
0.000 0.000 4.899
Ge S Al
1 1 3
Cartesian
0.000 0.000 0.000 Ge
2.449 2.449 2.449 S
0.000 2.449 0.000 Al
0.000 0.000 2.449 Al
2.449 0.000 0.000 Al
```

Results
Space group = Pm-3m
E above lowest polymorph = 124 meV per atom
V = 23.52 A^3/atom
E = -3.409 eV/atom



Here is crystalline AlGe2S at its relaxed geometry from Alexandria via LeMat-Bulk. Energies are from PBE-GGA.

POSCAR file:
```
AlGe2S
1.0
0.622 -4.293 -1.761
2.214 -3.266 2.519
-2.391 -3.620 1.758
Ge S Al
2 1 1
Cartesian
0.111 -2.795 0.629 Ge
0.333 -8.384 1.887 Ge
0.222 -5.589 1.258 S
0.000 0.000 0.000 Al
```

Results
Space group = Fm-3m
E above lowest polymorph = 172 meV per atom
V = 18.14 A^3/atom
E = -3.934 eV/atom



Number 1: Fermi-level density of states 0.739 states/eV/f.u., formation energy without anion corrections -209.8 kJ/mol of formula units. Number 2: Fermi-level density of states 3.759 states/eV/f.u., formation energy without anion corrections 282.5 kJ/mol of formula units. Number 3: Fermi-level density of states 1.747 states/eV/f.u., formation energy without anion corrections 132.1 kJ/mol of formula units.